Material: Ba2CdNiIr
Method: DFT, GGA-PBE
State: optimized geometry

Properties
For the density, the calculation gives 6151 kg/m3. Its formation energy is 110.1 meV per atom.

abc: 6.098 4.631 6.098
angles: 90.00 90.00 90.00
Element x y z (fractional)
Ni 0.000 0.500 0.000
Ir 0.000 0.000 0.000
Ba 0.000 0.000 0.500
Ba 0.500 0.000 0.000
Cd 0.500 0.500 0.500



Material: NaGaTe2
Method: DFT, GGA-PBE
State: optimized geometry

Properties
For the density, the calculation gives 5113 kg/m3. Its formation energy (no corrections) is -0.44 eV per atom.

abc: 8.052 4.120 4.120
angles: 120.10 104.79 75.21
Element x y z (fractional)
Na 0.500 0.500 0.500
Te 0.791 0.736 0.264
Te 0.209 0.264 0.736
Ga 0.000 0.000 0.000



Material: EuErRhPb
Method: DFT, GGA-PBE
State: optimized geometry

Properties
For the density, the calculation gives 10477 kg/m3. Its formation energy is -402.9 meV per atom.

abc: 5.206 5.206 5.206
angles: 60.00 60.00 60.00
Each line ends with the local moment (μB).
Element x y z (fractional)
Pb 0.750 0.750 0.750  -0.01
Eu 0.500 0.500 0.500  6.76
Rh 0.250 0.250 0.250  -0.09
Er 0.000 0.000 0.000  0.01



Material: LiZn2P
Method: DFT, GGA-PBE
State: optimized geometry

Properties
For the density, the calculation gives 4653 kg/m3. Its formation energy is -149.2 meV per atom.

abc: 3.793 2.920 5.575
angles: 77.26 90.00 90.00
Element x y z (fractional)
Li 0.000 0.538 0.541
P 0.500 0.966 0.706
Zn 0.000 0.805 0.005
Zn 0.500 0.191 0.248